# BeVI2O GGA+U relaxed
# Density of states at the Fermi level ... 0.707 states/eV/atom
# Total DFT energy (no corrections) ... -19.45 eV/cell
data_BeVI2O
_chemical_formula_sum 'Be1 V1 I2 O1'
_cell_length_a 5.6643
_cell_length_b 5.6643
_cell_length_c 3.6979
_cell_angle_alpha 90.00
_cell_angle_beta 90.00
_cell_angle_gamma 90.00
_symmetry_space_group_name_H-M 'P 4/m m m'
_symmetry_Int_Tables_number 123
_symmetry_space_group_name_Hall '-P 4 2'
loop_
_atom_site_label
_atom_site_type_symbol
_atom_site_fract_x
_atom_site_fract_y
_atom_site_fract_z
Be1 Be 0.0000 0.0000 0.0000
V1 V 0.5000 0.5000 0.5000
I1 I 0.0000 0.5000 0.5000
O1 O 0.5000 0.5000 0.0000